Entry 1:
Compound: Ac2La4Dy
Source: Alexandria
Functional: GGA-PBE
Structure: optimized geometry

The value obtained for the total energy is -4.620 eV per atom. The formation enthalpy at 0 K comes out at 0.027 eV per atom. The size of the total moment comes out at 0.000 μB/atom.

The space group is P-1 (No. 2) and the conventional cell measures 7.559, 8.426 and 9.264 Å, with angles of 69.09, 89.84 and 77.04 degrees. The distinct sites, in fractional coordinates, are Ac at (0.000, 0.000, 0.000), Ac at (0.072, 0.717, 0.431), Ac at (0.500, 0.000, 0.000), La at (0.142, 0.434, 0.859), La at (0.292, 0.855, 0.712), La at (0.361, 0.563, 0.146), La at (0.429, 0.283, 0.573) and Dy at (0.216, 0.146, 0.286).

***

Entry 2:
Compound: MnTlTe2
Source: Alexandria
Functional: GGA-PBE
Structure: optimized geometry

The value obtained for the total energy is -4.598 eV per atom. The uncorrected formation energy comes out at -0.144 eV/atom. The size of the total moment comes out at 1.000 μB/atom.

The space group is C2 (No. 5) and the conventional cell measures 3.931, 6.810 and 8.662 Å, with angles of 90.00, 90.09 and 90.00 degrees. The distinct sites, in fractional coordinates, are Mn at (0.000, 0.000, 0.000), Tl at (0.000, 0.999, 0.500) and Te at (0.001, 0.667, 0.193).

***

Entry 3:
Compound: Re2HIr
Source: Alexandria
Functional: GGA-PBE
Structure: optimized geometry

The value obtained for the total energy is -8.443 eV per atom. The size of the total moment comes out at 0.000 μB/atom.

The space group is Fm-3m (No. 225) and the conventional cell measures 5.958, 5.958 and 5.958 Å, with angles of 90.00, 90.00 and 90.00 degrees. The distinct sites, in fractional coordinates, are Re at (0.250, 0.250, 0.250), H at (0.000, 0.000, 0.000) and Ir at (0.000, 0.000, 0.500).

***

Entry 4:
Compound: Ti3ZnIn
Source: Alexandria
Functional: GGA-PBE
Structure: optimized geometry

The value obtained for the total energy is -4.324 eV per atom. The formation enthalpy at 0 K comes out at 1.215 eV per atom. The size of the total moment comes out at 0.000 μB/atom.

The space group is Pm-3m (No. 221) and the conventional cell measures 4.997, 4.997 and 4.997 Å, with angles of 90.00, 90.00 and 90.00 degrees. The distinct sites, in fractional coordinates, are Ti at (0.000, 0.000, 0.500), Zn at (0.500, 0.500, 0.500) and In at (0.000, 0.000, 0.000).

***

Entry 5:
Compound: Sr2Mg5Bi3Pb2
Source: Alexandria
Functional: GGA-PBE
Structure: optimized geometry

The value obtained for the total energy is -2.720 eV per atom. The formation enthalpy at 0 K comes out at -0.187 eV per atom. The size of the total moment comes out at 0.053 μB/atom.

The space group is I4/mmm (No. 139) and the conventional cell measures 4.674, 4.674 and 36.295 Å, with angles of 90.00, 90.00 and 90.00 degrees. The distinct sites, in fractional coordinates, are Sr at (0.000, 0.000, 0.211), Mg at (0.000, 0.000, 0.000), Mg at (0.000, 0.500, 0.131), Bi at (0.000, 0.000, 0.309), Bi at (0.000, 0.000, 0.500) and Pb at (0.000, 0.000, 0.080).

***

Entry 6:
Compound: Re4HgRh
Source: Alexandria
Functional: GGA-PBE
Structure: optimized geometry

The value obtained for the total energy is -8.882 eV per atom. The formation enthalpy at 0 K comes out at 0.692 eV per atom. The size of the total moment comes out at 0.000 μB/atom.

The space group is F-43m (No. 216) and the conventional cell measures 7.377, 7.377 and 7.377 Å, with angles of 90.00, 90.00 and 90.00 degrees. The distinct sites, in fractional coordinates, are Re at (0.125, 0.125, 0.125), Hg at (0.000, 0.000, 0.500) and Rh at (0.250, 0.250, 0.750).

***

Question: Number 5 is which compound?
Answer: Sr2Mg5Bi3Pb2

***

Question: Among the records above, which one has the highest size of the total moment?
Answer: MnTlTe2

***

Please write out number 6 again, unchanged.
Compound: Re4HgRh
Source: Alexandria
Functional: GGA-PBE
Structure: optimized geometry

The value obtained for the total energy is -8.882 eV per atom. The formation enthalpy at 0 K comes out at 0.692 eV per atom. The size of the total moment comes out at 0.000 μB/atom.

The space group is F-43m (No. 216) and the conventional cell measures 7.377, 7.377 and 7.377 Å, with angles of 90.00, 90.00 and 90.00 degrees. The distinct sites, in fractional coordinates, are Re at (0.125, 0.125, 0.125), Hg at (0.000, 0.000, 0.500) and Rh at (0.250, 0.250, 0.750).